[1]
First-principles (PBE) data for an optimized crystal structure of TbAl3Cu, as listed in Alexandria via LeMat-Bulk.

Cell and atoms, written as POSCAR:
```
TbAl3Cu
1.0
-1.543 0.682 3.790
3.491 -1.471 1.690
3.067 4.524 2.713
Tb Al Cu
1 3 1
Direct
0.397 0.200 0.912
0.143 0.447 0.418
0.802 0.606 0.101
0.644 0.947 0.418
0.022 0.825 0.662
```

distance to the lowest polymorph of the same formula	0	meV/atom
formation enthalpy at 0 K	-0.450	eV/atom
symmetry	I4mm (107)
raw total energy	-4.44	eV/atom
V	18.398	A^3/atom
calculated density	5.48	g/cm3

***

[2]
First-principles (PBE) data for an optimized crystal structure of TbPBr, as listed in Alexandria via LeMat-Bulk.

Cell and atoms, written as POSCAR:
```
TbPBr
1.0
3.915 0.035 0.016
-1.915 4.678 -0.149
-0.006 -2.892 10.500
Br P Tb
2 2 2
Direct
0.806 0.630 0.325
0.194 0.370 0.675
0.517 0.109 0.924
0.483 0.891 0.076
0.819 0.647 0.862
0.181 0.353 0.138
```

distance to the lowest polymorph of the same formula	0	meV/atom
symmetry	P-1 (2)
raw total energy	-5.32	eV/atom
V	31.902	A^3/atom
calculated density	4.68	g/cm3
formation energy from raw total energies	-1413.1	meV per atom

***

[3]
First-principles (PBE) data for an optimized crystal structure of TlSiSb2, as listed in Alexandria via LeMat-Bulk.

Cell and atoms, written as POSCAR:
```
TlSiSb2
1.0
0.000 3.702 3.702
3.702 0.000 3.702
3.702 3.702 0.000
Tl Sb Si
1 2 1
Direct
0.500 0.500 0.500
0.750 0.750 0.750
0.250 0.250 0.250
0.000 0.000 0.000
```

distance to the lowest polymorph of the same formula	262	meV/atom
symmetry	Fm-3m (225)
raw total energy	-3.57	eV/atom
V	25.369	A^3/atom
calculated density	7.79	g/cm3
formation energy from raw total energies	436.4	meV per atom

***

[4]
First-principles (PBE) data for an optimized crystal structure of LiTlGeF6, as listed in Alexandria via LeMat-Bulk.

Cell and atoms, written as POSCAR:
```
LiTlGeF6
1.0
-4.019 3.406 -0.180
-2.133 1.323 -4.635
-3.938 -4.615 0.498
Ge Li F Tl
1 1 6 1
Direct
0.333 0.333 0.500
0.667 0.667 0.500
0.361 0.034 0.673
0.605 0.361 0.673
0.605 0.034 0.327
0.361 0.605 0.327
0.034 0.361 0.327
0.034 0.605 0.673
0.000 0.000 0.000
```

symmetry	P312 (149)
raw total energy	-4.75	eV/atom
V	16.267	A^3/atom
calculated density	4.51	g/cm3
formation energy from raw total energies	-2510.6	meV per atom

***

[5]
First-principles (PBE) data for an optimized crystal structure of CaHf2Se4, as listed in Alexandria via LeMat-Bulk.

Cell and atoms, written as POSCAR:
```
CaHf2Se4
1.0
3.914 0.000 0.000
-1.957 6.265 0.000
0.000 0.000 13.455
Hf Se Ca
4 8 2
Direct
0.875 0.751 0.938
0.875 0.751 0.562
0.125 0.249 0.062
0.125 0.249 0.438
0.053 0.106 0.250
0.230 0.460 0.615
0.230 0.460 0.885
0.770 0.540 0.115
0.947 0.894 0.750
0.500 0.000 0.000
0.500 0.000 0.500
0.770 0.540 0.385
0.620 0.239 0.750
0.380 0.761 0.250
```

symmetry	Cmcm (63)
raw total energy	-6.49	eV/atom
V	23.564	A^3/atom
calculated density	7.18	g/cm3
formation energy from raw total energies	-1373.5	meV per atom

***

[6]
First-principles (PBE) data for an optimized crystal structure of Sc3Mn8Re, as listed in Alexandria via LeMat-Bulk.

Cell and atoms, written as POSCAR:
```
Sc3Mn8Re
1.0
4.636 0.000 1.399
2.107 4.129 1.399
-0.014 -0.008 8.423
Sc Mn Re
3 8 1
Direct
0.999 0.999 0.002
0.375 0.375 0.876
0.501 0.501 0.498
0.687 0.687 0.939
0.932 0.436 0.195
0.188 0.188 0.437
0.443 0.938 0.680
0.938 0.443 0.680
0.436 0.932 0.195
0.436 0.436 0.195
0.938 0.938 0.680
0.876 0.876 0.372
```

formation enthalpy at 0 K	-0.086	eV/atom
symmetry	R3m (160)
raw total energy	-8.82	eV/atom
V	13.446	A^3/atom
calculated density	7.83	g/cm3

***

[7]
First-principles (PBE) data for an optimized crystal structure of AcZnSbRh, as listed in Alexandria via LeMat-Bulk.

Cell and atoms, written as POSCAR:
```
AcZnSbRh
1.0
5.053 0.000 0.000
2.526 4.376 0.000
2.526 1.459 4.126
Sb Rh Ac Zn
1 1 1 1
Direct
0.250 0.250 0.250
0.500 0.500 0.500
0.750 0.750 0.750
0.000 0.000 0.000
```

symmetry	F-43m (216)
raw total energy	-4.62	eV/atom
V	22.805	A^3/atom
calculated density	9.41	g/cm3
formation energy from raw total energies	-402.5	meV per atom

***

[8]
First-principles (PBE) data for an optimized crystal structure of CdBrO, as listed in Alexandria via LeMat-Bulk.

Cell and atoms, written as POSCAR:
```
CdBrO
1.0
-0.907 -0.096 3.684
2.479 -2.503 -1.410
3.702 3.108 0.992
Br O Cd
1 1 1
Direct
0.000 0.000 0.031
0.333 0.667 0.538
0.667 0.333 0.431
```

symmetry	P3m1 (156)
raw total energy	-2.89	eV/atom
V	20.511	A^3/atom
calculated density	5.62	g/cm3
formation energy from raw total energies	-369.6	meV per atom

***

[9]
First-principles (PBE) data for an optimized crystal structure of NpTcBC, as listed in Alexandria via LeMat-Bulk.

Cell and atoms, written as POSCAR:
```
NpTcBC
1.0
3.591 0.000 0.000
0.000 3.591 0.000
0.000 0.000 8.059
C Np B Tc
2 2 2 2
Direct
0.500 0.000 0.876
0.000 0.500 0.124
0.500 0.000 0.163
0.000 0.500 0.837
0.500 0.000 0.685
0.000 0.500 0.315
0.000 0.000 0.500
0.500 0.500 0.500
```

formation enthalpy at 0 K	-0.153	eV/atom
symmetry	P4/nmm (129)
raw total energy	-9.95	eV/atom
V	12.990	A^3/atom
calculated density	11.44	g/cm3

***

[10]
First-principles (PBE) data for an optimized crystal structure of NdTm4Zn5, as listed in Alexandria via LeMat-Bulk.

Cell and atoms, written as POSCAR:
```
NdTm4Zn5
1.0
-0.534 -0.225 3.497
-3.078 -1.661 -0.577
8.442 -15.743 0.276
Tm Zn Nd
4 5 1
Direct
0.000 0.000 0.598
0.000 0.000 0.206
0.000 0.000 0.794
0.000 0.000 0.402
0.500 0.500 0.696
0.500 0.500 0.500
0.500 0.500 0.888
0.500 0.500 0.304
0.500 0.500 0.112
0.000 0.000 0.000
```

formation enthalpy at 0 K	-0.338	eV/atom
symmetry	P4/mmm (123)
raw total energy	-3.24	eV/atom
V	22.452	A^3/atom
calculated density	8.48	g/cm3

***

[11]
First-principles (PBE) data for an optimized crystal structure of Ce2SiGeRh6, as listed in Alexandria via LeMat-Bulk.

Cell and atoms, written as POSCAR:
```
Ce2SiGeRh6
1.0
-2.763 -4.648 1.724
3.977 0.487 6.027
-3.258 0.322 4.458
Rh Ce Ge Si
6 2 1 1
Direct
0.769 0.836 0.821
0.184 0.686 0.950
0.684 0.668 0.459
0.816 0.314 0.050
0.316 0.332 0.541
0.231 0.164 0.179
0.249 0.760 0.413
0.751 0.240 0.587
0.000 0.000 0.000
0.500 0.500 0.000
```

symmetry	P-1 (2)
raw total energy	-7.25	eV/atom
V	17.798	A^3/atom
calculated density	9.32	g/cm3
formation energy from raw total energies	-652.6	meV per atom

***

[12]
First-principles (PBE) data for an optimized crystal structure of Mn2TlTc, as listed in Alexandria via LeMat-Bulk.

Cell and atoms, written as POSCAR:
```
Mn2TlTc
1.0
-1.657 5.873 -6.565
-4.012 4.095 -6.890
-4.079 6.298 -4.902
Tl Mn Tc
1 2 1
Direct
0.750 0.750 0.750
0.991 0.991 0.991
0.509 0.509 0.509
0.250 0.250 0.250
```

formation enthalpy at 0 K	0.512	eV/atom
symmetry	R-3m (166)
raw total energy	-7.26	eV/atom
V	16.785	A^3/atom
calculated density	10.20	g/cm3